# BaLa2N2, optimized geometry, DFT GGA-PBE
# - Final energy: -0.4762 Ry/atom
# - Density of states at the Fermi level: 10.546 states/eV per cell
# - Size of the total moment: 0.00 μB per cell
# - Energy relative to the elements, uncorrected: -793 meV/atom
data_BaLa2N2
_chemical_formula_sum 'Ba4 La8 N8'
_space_group_name_H-M_alt 'C 1 2/c 1'
_space_group_IT_number 15
_cell_length_a 6.8735
_cell_length_b 12.8302
_cell_length_c 6.6424
_cell_angle_alpha 90.00
_cell_angle_beta 121.10
_cell_angle_gamma 90.00
loop_
_space_group_symop_operation_xyz
'x,y,z'
'-x,-y,-z'
'-x,y,-z+1/2'
'x,-y,z+1/2'
'x+1/2,y+1/2,z'
'-x+1/2,-y+1/2,-z'
'-x+1/2,y+1/2,-z+1/2'
'x+1/2,-y+1/2,z+1/2'
loop_
_atom_site_label
_atom_site_fract_x
_atom_site_fract_y
_atom_site_fract_z
Ba1 0.0000 0.1254 0.2500
La1 0.1588 0.3751 0.0675
N1 0.0000 0.2472 0.7500
N2 0.0000 0.4971 0.2500


# YRu, optimized geometry, DFT GGA-PBE
# - Final energy: -0.5784 Ry/atom
# - Density of states at the Fermi level: 10.787 states/eV per cell
# - Size of the total moment: 0.00 μB per cell
# - Formation enthalpy at 0 K: 0 meV per atom
data_YRu
_chemical_formula_sum 'Y4 Ru4'
_space_group_name_H-M_alt 'P 21 3'
_space_group_IT_number 198
_space_group_name_Hall 'P 2ac 2ab 3'
_cell_length_a 5.4731
_cell_length_b 5.4731
_cell_length_c 5.4731
_cell_angle_alpha 90.00
_cell_angle_beta 90.00
_cell_angle_gamma 90.00
loop_
_atom_site_label
_atom_site_fract_x
_atom_site_fract_y
_atom_site_fract_z
Y1 0.0853 0.0853 0.0853
Ru1 0.0967 0.5967 0.9033


# Li8Mg2Tl, optimized geometry, DFT GGA-PBE
# - Energy above the most stable polymorph in this dataset: 0.000 eV per atom
# - Final energy: -0.1466 Ry/atom
# - Density of states at the Fermi level: 10.554 states/eV per cell
# - Size of the total moment: 0.00 μB per cell
# - Formation enthalpy at 0 K: -98 meV per atom
data_Li8Mg2Tl
_chemical_formula_sum 'Li16 Mg4 Tl2'
_space_group_name_H-M_alt 'C 1 2/m 1'
_space_group_IT_number 12
_cell_length_a 15.7796
_cell_length_b 4.8204
_cell_length_c 5.6779
_cell_angle_alpha 90.00
_cell_angle_beta 91.38
_cell_angle_gamma 90.00
loop_
_space_group_symop_operation_xyz
'x,y,z'
'-x,-y,-z'
'-x,y,-z'
'x,-y,z'
'x+1/2,y+1/2,z'
'-x+1/2,-y+1/2,-z'
'-x+1/2,y+1/2,-z'
'x+1/2,-y+1/2,z'
loop_
_atom_site_label
_atom_site_fract_x
_atom_site_fract_y
_atom_site_fract_z
Li1 0.0394 0.0000 0.2400
Li2 0.0890 0.5000 0.9588
Li3 0.1390 0.0000 0.6684
Li4 0.1769 0.5000 0.4074
Mg1 0.2241 0.0000 0.1449
Tl1 0.0000 0.5000 0.5000


# DyY2Sc12, optimized geometry, DFT GGA-PBE
# - Final energy: -0.4366 Ry/atom
# - Density of states at the Fermi level: 49.043 states/eV per cell
# - Size of the total moment: 2.70 μB per cell
# - Formation enthalpy at 0 K: 294 meV per atom
data_DyY2Sc12
_chemical_formula_sum 'Dy2 Y4 Sc24'
_space_group_name_H-M_alt 'P 4/n b m'
_space_group_IT_number 125
_cell_length_a 5.9827
_cell_length_b 5.9827
_cell_length_c 23.3593
_cell_angle_alpha 90.00
_cell_angle_beta 90.00
_cell_angle_gamma 90.00
loop_
_space_group_symop_operation_xyz
'x,y,z'
'-x,-y,-z'
'-y+1/2,x,z'
'y+1/2,-x,-z'
'-x+1/2,-y+1/2,z'
'x+1/2,y+1/2,-z'
'y,-x+1/2,z'
'-y,x+1/2,-z'
'x,-y+1/2,-z'
'-x,y+1/2,z'
'-y+1/2,-x+1/2,-z'
'y+1/2,x+1/2,z'
'-x+1/2,y,-z'
'x+1/2,-y,z'
'y,x,-z'
'-y,-x,z'
loop_
_atom_site_label
_atom_site_fract_x
_atom_site_fract_y
_atom_site_fract_z
Dy1 0.2500 0.7500 0.0000
Y1 0.2500 0.7500 0.2803
Sc1 0.0681 0.5681 0.1208
Sc2 0.0817 0.5817 0.4404
Sc3 0.2500 0.2500 0.2177
Sc4 0.2500 0.2500 0.3444


# KAgAu2, optimized geometry, DFT GGA-PBE
# - Energy above the most stable polymorph in this dataset: 0.065 eV per atom
# - Final energy: -0.1944 Ry/atom
# - Density of states at the Fermi level: 0.898 states/eV per cell
# - Size of the total moment: 0.00 μB per cell
# - Formation enthalpy at 0 K: -20 meV per atom
data_KAgAu2
_chemical_formula_sum 'K1 Ag1 Au2'
_space_group_name_H-M_alt 'P 4/m m m'
_space_group_IT_number 123
_space_group_name_Hall '-P 4 2'
_cell_length_a 3.4843
_cell_length_b 3.4843
_cell_length_c 7.7520
_cell_angle_alpha 90.00
_cell_angle_beta 90.00
_cell_angle_gamma 90.00
loop_
_atom_site_label
_atom_site_fract_x
_atom_site_fract_y
_atom_site_fract_z
K1 0.0000 0.0000 0.0000
Ag1 0.0000 0.0000 0.5000
Au1 0.5000 0.5000 0.3069


# LaPuMg4, optimized geometry, DFT GGA-PBE
# - Final energy: -0.3121 Ry/atom
# - Density of states at the Fermi level: 61.500 states/eV per cell
# - Size of the total moment: 23.46 μB per cell
# - Formation enthalpy at 0 K: 26 meV per atom
data_LaPuMg4
_chemical_formula_sum 'La4 Pu4 Mg16'
_space_group_name_H-M_alt 'F -4 3 m'
_space_group_IT_number 216
_space_group_name_Hall 'F -4 2 3'
_cell_length_a 8.6679
_cell_length_b 8.6679
_cell_length_c 8.6679
_cell_angle_alpha 90.00
_cell_angle_beta 90.00
_cell_angle_gamma 90.00
loop_
_atom_site_label
_atom_site_fract_x
_atom_site_fract_y
_atom_site_fract_z
La1 0.0000 0.0000 0.0000
Pu1 0.2500 0.2500 0.7500
Mg1 0.1251 0.1251 0.3749


# CaAl9Cu2, optimized geometry, DFT GGA-PBE
# - Final energy: -0.2792 Ry/atom
# - Density of states at the Fermi level: 15.476 states/eV per cell
# - Size of the total moment: 0.00 μB per cell
# - Formation enthalpy at 0 K: -143 meV per atom
data_CaAl9Cu2
_chemical_formula_sum 'Ca4 Al36 Cu8'
_space_group_name_H-M_alt 'I 41/a m d'
_space_group_IT_number 141
_cell_length_a 10.7111
_cell_length_b 10.7111
_cell_length_c 7.2013
_cell_angle_alpha 90.00
_cell_angle_beta 90.00
_cell_angle_gamma 90.00
loop_
_space_group_symop_operation_xyz
'x,y,z'
'-x,-y,-z'
'-y+1/4,x+3/4,z+1/4'
'y+1/4,-x+3/4,-z+1/4'
'-x+1/2,-y,z+1/2'
'x+1/2,y,-z+1/2'
'y+1/4,-x+1/4,z+3/4'
'-y+1/4,x+1/4,-z+3/4'
'x,-y,-z'
'-x,y,z'
'-y+1/4,-x+1/4,-z+3/4'
'y+1/4,x+1/4,z+3/4'
'-x+1/2,y,-z+1/2'
'x+1/2,-y,z+1/2'
'y+1/4,x+3/4,-z+1/4'
'-y+1/4,-x+3/4,z+1/4'
'x+1/2,y+1/2,z+1/2'
'-x+1/2,-y+1/2,-z+1/2'
'-y+3/4,x+1/4,z+3/4'
'y+3/4,-x+1/4,-z+3/4'
'-x,-y+1/2,z'
'x,y+1/2,-z'
'y+3/4,-x+3/4,z+1/4'
'-y+3/4,x+3/4,-z+1/4'
'x+1/2,-y+1/2,-z+1/2'
'-x+1/2,y+1/2,z+1/2'
'-y+3/4,-x+3/4,-z+1/4'
'y+3/4,x+3/4,z+1/4'
'-x,y+1/2,-z'
'x,-y+1/2,z'
'y+3/4,x+1/4,-z+3/4'
'-y+3/4,-x+1/4,z+3/4'
loop_
_atom_site_label
_atom_site_fract_x
_atom_site_fract_y
_atom_site_fract_z
Ca1 0.0000 0.2500 0.3750
Al1 0.0000 0.2500 0.8750
Al2 0.1231 0.0497 0.6825
Cu1 0.0000 0.0000 0.0000


# AcDyHoEr, optimized geometry, DFT GGA-PBE
# - Energy above the most stable polymorph in this dataset: 0.000 eV per atom
# - Final energy: -0.3229 Ry/atom
# - Density of states at the Fermi level: 16.421 states/eV per cell
# - Size of the total moment: 0.00 μB per cell
# - Formation enthalpy at 0 K: 69 meV per atom
data_AcDyHoEr
_chemical_formula_sum 'Ac3 Dy3 Ho3 Er3'
_space_group_name_H-M_alt 'R 3 m'
_space_group_IT_number 160
_space_group_name_Hall 'R 3 -2"'
_cell_length_a 3.6686
_cell_length_b 3.6686
_cell_length_c 35.2331
_cell_angle_alpha 90.00
_cell_angle_beta 90.00
_cell_angle_gamma 120.00
loop_
_atom_site_label
_atom_site_fract_x
_atom_site_fract_y
_atom_site_fract_z
Ac1 0.0000 0.0000 0.0000
Dy1 0.0000 0.0000 0.5783
Ho1 0.0000 0.0000 0.7536
Er1 0.0000 0.0000 0.1655


# USeF, optimized geometry, DFT GGA-PBE
# - Final energy: -0.5638 Ry/atom
# - Density of states at the Fermi level: 9.068 states/eV per cell
# - Size of the total moment: 2.94 μB per cell
# - Energy relative to the elements, uncorrected: -2123 meV/atom
data_USeF
_chemical_formula_sum 'U1 Se1 F1'
_space_group_name_H-M_alt 'P -6 m 2'
_space_group_IT_number 187
_space_group_name_Hall 'P -6 2'
_cell_length_a 4.1461
_cell_length_b 4.1461
_cell_length_c 3.9353
_cell_angle_alpha 90.00
_cell_angle_beta 90.00
_cell_angle_gamma 120.00
loop_
_atom_site_label
_atom_site_fract_x
_atom_site_fract_y
_atom_site_fract_z
U1 0.0000 0.0000 0.0000
Se1 0.6667 0.3333 0.5000
F1 0.3333 0.6667 0.0000


# SiSn, optimized geometry, DFT GGA-PBE
# - Final energy: -0.3292 Ry/atom
# - Density of states at the Fermi level: 2.870 states/eV per cell
# - Size of the total moment: 0.00 μB per cell
# - Energy relative to the elements, uncorrected: 234 meV/atom
data_SiSn
_chemical_formula_sum 'Si4 Sn4'
_space_group_name_H-M_alt 'C 1 m 1'
_space_group_IT_number 8
_cell_length_a 6.4197
_cell_length_b 3.7060
_cell_length_c 8.5399
_cell_angle_alpha 90.00
_cell_angle_beta 103.79
_cell_angle_gamma 90.00
loop_
_space_group_symop_operation_xyz
'x,y,z'
'x,-y,z'
'x+1/2,y+1/2,z'
'x+1/2,-y+1/2,z'
loop_
_atom_site_label
_atom_site_fract_x
_atom_site_fract_y
_atom_site_fract_z
Si1 0.0000 0.0000 0.0000
Si2 0.2031 0.5000 0.1149
Sn1 0.1245 0.0000 0.3769
Sn2 0.3920 0.5000 0.6758


# Be2Sn2Ru, optimized geometry, DFT GGA-PBE
# - Energy above the most stable polymorph in this dataset: 0.000 eV per atom
# - Final energy: -0.3423 Ry/atom
# - Density of states at the Fermi level: 7.322 states/eV per cell
# - Size of the total moment: 0.01 μB per cell
# - Formation enthalpy at 0 K: 289 meV per atom
data_Be2Sn2Ru
_chemical_formula_sum 'Be4 Sn4 Ru2'
_space_group_name_H-M_alt 'P 4/m b m'
_space_group_IT_number 127
_space_group_name_Hall '-P 4 2ab'
_cell_length_a 6.4326
_cell_length_b 6.4326
_cell_length_c 3.6824
_cell_angle_alpha 90.00
_cell_angle_beta 90.00
_cell_angle_gamma 90.00
loop_
_atom_site_label
_atom_site_fract_x
_atom_site_fract_y
_atom_site_fract_z
Be1 0.1239 0.3761 0.0000
Sn1 0.1774 0.6774 0.5000
Ru1 0.0000 0.0000 0.0000


# Ce6H2C3S, optimized geometry, DFT GGA-PBE
# - Final energy: -0.4957 Ry/atom
# - Density of states at the Fermi level: 36.292 states/eV per cell
# - Size of the total moment: 6.37 μB per cell
data_Ce6H2C3S
_chemical_formula_sum 'Ce12 H4 C6 S2'
_space_group_name_H-M_alt 'C 1 2/m 1'
_space_group_IT_number 12
_cell_length_a 16.4204
_cell_length_b 3.6767
_cell_length_c 7.6239
_cell_angle_alpha 90.00
_cell_angle_beta 106.45
_cell_angle_gamma 90.00
loop_
_space_group_symop_operation_xyz
'x,y,z'
'-x,-y,-z'
'-x,y,-z'
'x,-y,z'
'x+1/2,y+1/2,z'
'-x+1/2,-y+1/2,-z'
'-x+1/2,y+1/2,-z'
'x+1/2,-y+1/2,z'
loop_
_atom_site_label
_atom_site_fract_x
_atom_site_fract_y
_atom_site_fract_z
Ce1 0.0016 0.0000 0.2288
Ce2 0.1611 0.5000 0.1008
Ce3 0.1759 0.5000 0.5757
H1 0.1701 0.0000 0.8389
C1 0.0000 0.5000 0.0000
C2 0.1631 0.0000 0.3327
S1 0.0000 0.5000 0.5000


- Look up the final energy of the eighth one.
  -0.3229 Ry/atom


Please write out number 11 again, unchanged.
# Be2Sn2Ru, optimized geometry, DFT GGA-PBE
# - Energy above the most stable polymorph in this dataset: 0.000 eV per atom
# - Final energy: -0.3423 Ry/atom
# - Density of states at the Fermi level: 7.322 states/eV per cell
# - Size of the total moment: 0.01 μB per cell
# - Formation enthalpy at 0 K: 289 meV per atom
data_Be2Sn2Ru
_chemical_formula_sum 'Be4 Sn4 Ru2'
_space_group_name_H-M_alt 'P 4/m b m'
_space_group_IT_number 127
_space_group_name_Hall '-P 4 2ab'
_cell_length_a 6.4326
_cell_length_b 6.4326
_cell_length_c 3.6824
_cell_angle_alpha 90.00
_cell_angle_beta 90.00
_cell_angle_gamma 90.00
loop_
_atom_site_label
_atom_site_fract_x
_atom_site_fract_y
_atom_site_fract_z
Be1 0.1239 0.3761 0.0000
Sn1 0.1774 0.6774 0.5000
Ru1 0.0000 0.0000 0.0000